Entry 1:
Density functional theory data (PBE-GGA) for an optimized crystal structure of Ba2CaIn2P4.

Cell lengths 4.2183, 7.6465, 8.3740 Å; angles 107.76, 104.59, 90.00 degrees
With the nearest neighbours (Å) after each atom.
Positions (direct):
P: 0.2142 0.2033 0.4283  3 In 2.63-2.79
P: 0.7858 0.7967 0.5717  3 In 2.63-2.79
P: 0.4799 0.2549 0.9598  1 In 2.51
P: 0.5201 0.7451 0.0402  1 In 2.51
In: 0.6660 0.9907 0.3321  4 P 2.51-2.79
In: 0.3340 0.0093 0.6679  4 P 2.51-2.79
Ba: 0.1225 0.5473 0.2449  7 P 3.33-3.45
Ba: 0.8775 0.4527 0.7551  7 P 3.33-3.45
Ca: 0.0000 0.0000 0.0000  4 P 2.96

**Total magnetic moment**: 0.000 μB per formula unit
**Energy of formation from the pure elements**: -781 meV per atom
**DFT total energy**: -4.443 eV per atom

***

Entry 2:
Density functional theory data (PBE-GGA) for an optimized crystal structure of Ba2CaIn3Pb4.

Cell lengths 5.0774, 5.0774, 13.5982 Å; angles 90.00, 90.00, 90.00 degrees
With the nearest neighbours (Å) after each atom.
Positions (direct):
In: 0.0000 0.5000 0.1365  5 Pb 3.00-3.14
In: 0.5000 0.0000 0.8635  5 Pb 3.00-3.14
In: 0.0000 0.0000 0.5000  4 Pb 3.20
Pb: 0.0000 0.5000 0.3570  3 In 3.00-3.20, 2 Ca 3.20
Pb: 0.5000 0.0000 0.6430  3 In 3.00-3.20, 2 Ca 3.20
Pb: 0.5000 0.5000 0.0000  4 In 3.14
Pb: 0.0000 0.0000 0.0000  4 In 3.14
Ba: 0.0000 0.5000 0.7584  4 In 3.86, 8 Pb 3.92-4.15
Ba: 0.5000 0.0000 0.2416  4 In 3.86, 8 Pb 3.92-4.15
Ca: 0.5000 0.5000 0.5000  4 Pb 3.20

**Total magnetic moment**: 0.000 μB per formula unit
**Density of states at the Fermi level**: 7.0 states/eV/f.u.
**Energy of formation from the pure elements**: -366 meV per atom
**DFT total energy**: -3.256 eV per atom

***

Entry 3:
Density functional theory data (PBE-GGA) for an optimized crystal structure of BaCa2In2Pb2.

Cell lengths 5.4116, 5.4116, 9.9493 Å; angles 74.22, 74.22, 60.00 degrees
With the nearest neighbours (Å) after each atom.
Positions (direct):
Pb: 0.7433 0.7433 0.7702  3 In 3.23, 4 Ca 3.38-3.57
Pb: 0.2567 0.2567 0.2298  3 In 3.23, 4 Ca 3.38-3.57
In: 0.4387 0.4387 0.6838  3 Pb 3.23, 3 Ca 3.25, 1 In 3.47
In: 0.5613 0.5613 0.3162  3 Pb 3.23, 3 Ca 3.25, 1 In 3.47
Ca: 0.8626 0.8626 0.4121  3 In 3.25, 4 Pb 3.38-3.57, 3 Ca 3.54
Ca: 0.1374 0.1374 0.5879  3 In 3.25, 4 Pb 3.38-3.57, 3 Ca 3.54
Ba: 0.0000 0.0000 0.0000  6 Pb 3.80, 2 Ca 3.89

**Total magnetic moment**: 0.000 μB per formula unit
**Density of states at the Fermi level**: 5.9 states/eV/f.u.
**Energy of formation from the pure elements**: -356 meV per atom
**DFT total energy**: -3.045 eV per atom